Compound: NaAc4Au4
Source: Alexandria
Functional: PBE
Structure: optimized geometry

Cell lengths 6.2924, 9.9345, 9.9345 Å; angles 90.00, 90.00, 90.00 degrees
Last column: nearest neighbours and their distance in Å.
Fractional positions:
Ac  0.4979  0.2985  0.9084  5 Au 3.15-3.22
Ac  0.5021  0.0916  0.2985  5 Au 3.15-3.22
Ac  0.4979  0.7015  0.0916  5 Au 3.15-3.22
Ac  0.9979  0.5916  0.7985  5 Au 3.15-3.22
Ac  0.0021  0.7985  0.4084  5 Au 3.15-3.22
Ac  0.0021  0.2015  0.5916  5 Au 3.15-3.22
Ac  0.9979  0.4084  0.2015  5 Au 3.15-3.22
Ac  0.5021  0.9084  0.7015  5 Au 3.15-3.22
Au  0.0020  0.9044  0.7129  1 Na 3.01, 5 Ac 3.15-3.22
Au  0.5020  0.2129  0.5956  1 Na 3.01, 5 Ac 3.15-3.22
Au  0.0020  0.0956  0.2871  1 Na 3.01, 5 Ac 3.15-3.22
Au  0.4980  0.5956  0.7871  1 Na 3.01, 5 Ac 3.15-3.22
Au  0.4980  0.4044  0.2129  1 Na 3.01, 5 Ac 3.15-3.22
Au  0.5020  0.7871  0.4044  1 Na 3.01, 5 Ac 3.15-3.22
Au  0.9980  0.2871  0.9044  1 Na 3.01, 5 Ac 3.15-3.22
Au  0.9980  0.7129  0.0956  1 Na 3.01, 5 Ac 3.15-3.22
Na  0.5000  0.5000  0.5000  4 Au 3.01
Na  0.0000  0.0000  0.0000  4 Au 3.01

## Properties
energy of formation: -0.588 eV per atom
SG: P4_2/n (86)

***

Compound: NaAcAu2
Source: Alexandria
Functional: PBE
Structure: optimized geometry

Cell lengths 3.8740, 5.2367, 5.2367 Å; angles 90.00, 90.00, 90.00 degrees
Last column: nearest neighbours and their distance in Å.
Fractional positions:
Au  0.0000  0.5000  0.0000  4 Ac 3.26, 4 Na 3.26
Au  0.0000  0.0000  0.5000  4 Ac 3.26, 4 Na 3.26
Ac  0.5000  0.5000  0.5000  8 Au 3.26
Na  0.5000  0.0000  0.0000  8 Au 3.26

## Properties
energy of formation: -0.559 eV per atom
SG: P4/mmm (123)

***

Compound: NaAcAu4
Source: Alexandria
Functional: PBE
Structure: optimized geometry

Cell lengths 5.7612, 5.7612, 5.7612 Å; angles 60.00, 60.00, 60.00 degrees
Last column: nearest neighbours and their distance in Å.
Fractional positions:
Na  0.2500  0.2500  0.2500  12 Au 3.38, 4 Ac 3.53
Au  0.6239  0.6239  0.6239  6 Au 2.86-2.91
Au  0.1283  0.6239  0.6239  6 Au 2.86-2.91
Au  0.6239  0.6239  0.1283  6 Au 2.86-2.91
Au  0.6239  0.1283  0.6239  6 Au 2.86-2.91
Ac  0.0000  0.0000  0.0000  12 Au 3.38, 4 Na 3.53

## Properties
energy of formation: -0.495 eV per atom
SG: F-43m (216)

***

Compound: NaAcAu
Source: Alexandria
Functional: PBE
Structure: optimized geometry

Cell lengths 4.4652, 4.4623, 10.8762 Å; angles 90.03, 90.05, 90.00 degrees
Last column: nearest neighbours and their distance in Å.
Fractional positions:
Na  0.2510  0.2505  0.9204  1 Au 2.95
Na  0.7490  0.7495  0.0796  1 Au 2.95
Ac  0.2496  0.2498  0.3523  5 Au 3.16-3.22
Ac  0.7504  0.7502  0.6477  5 Au 3.16-3.22
Au  0.2502  0.2501  0.6488  1 Na 2.95, 5 Ac 3.16-3.22
Au  0.7498  0.7499  0.3512  1 Na 2.95, 5 Ac 3.16-3.22

## Properties
energy of formation: -0.467 eV per atom
SG: C2/m (12)

***

Compound: NaAcAu
Source: Alexandria
Functional: PBE
Structure: optimized geometry

Cell lengths 4.9943, 4.9943, 4.0892 Å; angles 90.00, 90.00, 120.00 degrees
Last column: nearest neighbours and their distance in Å.
Fractional positions:
Au  0.6667  0.3333  0.1641  3 Na 2.88
Na  0.0000  0.0000  0.1684  3 Au 2.88
Ac  0.3333  0.6667  0.6675  6 Au 3.53-3.54, 6 Na 3.53-3.54

## Properties
energy of formation: -0.297 eV per atom
SG: P3m1 (156)

***

Compound: NaAcAu2
Source: Alexandria
Functional: PBE
Structure: optimized geometry

Cell lengths 4.4562, 4.4562, 7.3243 Å; angles 72.29, 72.29, 60.00 degrees
Last column: nearest neighbours and their distance in Å.
Fractional positions:
Ac  0.6703  0.6703  0.9891  6 Au 3.18-3.24
Au  0.2412  0.2412  0.2765  1 Au 3.02, 3 Na 3.06, 3 Ac 3.24
Au  0.0942  0.0942  0.7175  3 Na 2.92, 1 Au 3.02, 3 Ac 3.18
Na  0.4944  0.4944  0.5169  6 Au 2.92-3.06

## Properties
energy of formation: -0.515 eV per atom
SG: R3m (160)

***

Compound: NaAcAu10
Source: Alexandria
Functional: PBE
Structure: optimized geometry

Cell lengths 4.7007, 5.6444, 9.7994 Å; angles 90.00, 90.00, 90.00 degrees
Last column: nearest neighbours and their distance in Å.
Fractional positions:
Ac  0.0000  0.5000  0.5000  18 Au 3.32-3.67
Au  0.5000  0.7459  0.2538  8 Au 2.78-2.88
Au  0.5000  0.0000  0.5000  8 Au 2.81-2.93
Au  0.5000  0.2541  0.2538  8 Au 2.78-2.88
Au  0.5000  0.5000  0.0000  8 Au 2.82-2.85
Au  0.5000  0.2541  0.7462  8 Au 2.78-2.88
Au  0.0000  0.5000  0.8412  7 Au 2.82-3.11
Au  0.0000  0.0000  0.3210  6 Au 2.83-2.93, 1 Na 3.15
Au  0.0000  0.0000  0.6790  6 Au 2.83-2.93, 1 Na 3.15
Au  0.0000  0.5000  0.1588  7 Au 2.82-3.11
Au  0.5000  0.7459  0.7462  8 Au 2.78-2.88
Na  0.0000  0.0000  0.0000  6 Au 3.15-3.22

## Properties
energy of formation: -0.349 eV per atom
SG: Pmmm (47)

***

Compound: NaAcAu4
Source: Alexandria
Functional: PBE
Structure: optimized geometry

Cell lengths 4.2741, 4.2741, 9.2415 Å; angles 103.37, 103.37, 90.00 degrees
Last column: nearest neighbours and their distance in Å.
Fractional positions:
Na  0.0000  0.0000  0.0000  12 Au 3.30-3.67
Au  0.5763  0.5763  0.1526  3 Au 2.67-2.70
Au  0.8289  0.3289  0.6578  3 Au 2.70-2.76
Au  0.6711  0.1711  0.3422  3 Au 2.70-2.76
Au  0.4237  0.4237  0.8474  3 Au 2.67-2.70
Ac  0.2500  0.7500  0.5000  12 Au 3.32-3.71

## Properties
energy of formation: -0.478 eV per atom
SG: I-4m2 (119)